Entry 1:
A plane-wave DFT calculation with PBE was carried out for crystalline Y2Te2F at its relaxed geometry.

```
Y2Te2F
1.0
-2.980 2.980 5.467
2.980 -2.980 5.467
2.980 2.980 -5.467
Y Te F
2 2 1
Cartesian
0.000 0.000 2.158
0.000 0.000 8.777
2.980 0.000 2.734
0.000 2.980 2.734
0.000 0.000 0.000
```

Computed properties:
energy above the most stable polymorph in this dataset: 43 meV per atom
calculated volume: 38.9 Å³ per atom
space-group type: I4/mmm
N(E_F): 0.566 states/eV/atom
E: -30.36 eV/cell
magnetization: 0.0 μB per formula unit
ΔE_f (raw): -1856 meV per atom

=====

Entry 2:
A plane-wave DFT calculation with PBE was carried out for crystalline TbPaPb at its relaxed geometry.

```
TbPaPb
1.0
-1.672 1.672 7.552
1.672 -1.672 7.552
1.672 1.672 -7.552
Tb Pa Pb
1 1 1
Cartesian
0.000 0.000 0.000
0.000 0.000 5.010
0.000 0.000 10.078
```

Computed properties:
energy above the most stable polymorph in this dataset: 42 meV per atom
calculated volume: 28.2 Å³ per atom
energy of formation from the pure elements: 0.021 eV per atom
space-group type: I4mm
N(E_F): 1.676 states/eV/atom
E: -17.77 eV/cell
magnetization: 0.0 μB per formula unit

=====

Entry 3:
A plane-wave DFT calculation with PBE was carried out for crystalline ReSb2Cl at its relaxed geometry.

```
ReSb2Cl
1.0
-1.568 2.359 6.257
1.568 -2.359 6.257
1.568 2.359 -6.257
Re Sb Cl
1 2 1
Cartesian
0.000 0.000 0.000
1.568 0.000 2.248
0.000 2.359 4.009
0.000 0.000 6.257
```

Computed properties:
energy above the most stable polymorph in this dataset: 483 meV per atom
calculated volume: 23.1 Å³ per atom
space-group type: Immm
N(E_F): 0.912 states/eV/atom
E: -20.16 eV/cell
magnetization: 0.3 μB per formula unit
ΔE_f (raw): 595 meV per atom

=====

Entry 4:
A plane-wave DFT calculation with PBE was carried out for crystalline LiScRu2 at its relaxed geometry.

```
LiScRu2
1.0
-1.914 1.914 4.119
1.914 -1.914 4.119
1.914 1.914 -4.119
Li Sc Ru
1 1 2
Cartesian
0.000 0.000 0.000
0.000 0.000 4.119
1.914 0.000 2.060
0.000 1.914 2.060
```

Computed properties:
calculated volume: 15.1 Å³ per atom
energy of formation from the pure elements: 0.031 eV per atom
space-group type: I4/mmm
N(E_F): 1.369 states/eV/atom
E: -26.67 eV/cell
magnetization: 0.0 μB per formula unit

=====

Entry 5:
A plane-wave DFT calculation with PBE was carried out for crystalline ZrNi2Ag at its relaxed geometry.

```
ZrNi2Ag
1.0
3.843 0.000 0.000
0.000 1.725 4.772
0.000 -1.725 4.772
Zr Ni Ag
1 2 1
Cartesian
0.000 0.000 0.000
0.000 0.000 2.665
1.922 0.000 4.036
1.922 0.000 6.686
```

Computed properties:
energy above the most stable polymorph in this dataset: 64 meV per atom
calculated volume: 15.8 Å³ per atom
energy of formation from the pure elements: -0.127 eV per atom
space-group type: Amm2
N(E_F): 0.819 states/eV/atom
E: -23.47 eV/cell
magnetization: 0.0 μB per formula unit

=====

Entry 6:
A plane-wave DFT calculation with PBE was carried out for crystalline LiUP2Pd at its relaxed geometry.

```
LiUP2Pd
1.0
7.271 -2.007 0.000
7.271 2.007 0.000
-3.253 0.000 6.096
Li U P Pd
2 2 4 2
Cartesian
0.111 0.000 1.412
11.179 0.000 4.684
1.219 0.000 4.594
10.071 0.000 1.502
-1.186 0.000 5.872
3.612 0.000 3.210
7.677 0.000 2.886
12.475 0.000 0.224
5.487 0.000 1.610
5.803 0.000 4.487
```

Computed properties:
calculated volume: 17.8 Å³ per atom
energy of formation from the pure elements: -0.774 eV per atom
space-group type: C2/m
N(E_F): 1.198 states/eV/atom
E: -66.17 eV/cell
magnetization: 1.0 μB per formula unit

=====

Entry 7:
A plane-wave DFT calculation with PBE was carried out for crystalline KAs3Rh at its relaxed geometry.

```
KAs3Rh
1.0
4.964 0.000 0.000
0.000 4.964 0.000
0.000 0.000 4.964
K As Rh
1 3 1
Cartesian
0.000 0.000 0.000
0.000 2.482 2.482
2.482 0.000 2.482
2.482 2.482 0.000
2.482 2.482 2.482
```

Computed properties:
energy above the most stable polymorph in this dataset: 0 meV per atom
calculated volume: 24.5 Å³ per atom
energy of formation from the pure elements: 0.156 eV per atom
space-group type: Pm-3m
N(E_F): 1.115 states/eV/atom
E: -21.62 eV/cell
magnetization: 0.0 μB per formula unit

=====

Entry 8:
A plane-wave DFT calculation with PBE was carried out for crystalline NpGaRh at its relaxed geometry.

```
NpGaRh
1.0
4.613 0.000 0.000
-2.306 3.995 0.000
0.000 0.000 2.920
Np Ga Rh
1 1 1
Cartesian
0.000 0.000 0.000
0.000 2.663 1.460
2.306 1.332 1.460
```

Computed properties:
calculated volume: 17.9 Å³ per atom
energy of formation from the pure elements: -0.350 eV per atom
space-group type: P-6m2
N(E_F): 1.665 states/eV/atom
E: -24.37 eV/cell
magnetization: 3.3 μB per formula unit

=====

Entry 9:
A plane-wave DFT calculation with PBE was carried out for crystalline LiZn3Br at its relaxed geometry.

```
LiZn3Br
1.0
4.994 0.000 0.000
0.000 4.994 0.000
0.000 0.000 4.994
Li Zn Br
1 3 1
Cartesian
0.000 0.000 0.000
0.000 0.000 2.497
0.000 2.497 0.000
2.497 0.000 0.000
2.497 2.497 2.497
```

Computed properties:
energy above the most stable polymorph in this dataset: 0 meV per atom
calculated volume: 24.9 Å³ per atom
space-group type: Pm-3m
N(E_F): 0.157 states/eV/atom
E: -6.44 eV/cell
magnetization: 0.0 μB per formula unit
ΔE_f (raw): 194 meV per atom

=====

Entry 10:
A plane-wave DFT calculation with PBE was carried out for crystalline HgAu3Cl at its relaxed geometry.

```
HgAu3Cl
1.0
5.066 0.000 0.000
0.000 5.066 0.000
0.000 0.000 5.066
Hg Au Cl
1 3 1
Cartesian
0.000 0.000 0.000
0.000 2.533 2.533
2.533 0.000 2.533
2.533 2.533 0.000
2.533 2.533 2.533
```

Computed properties:
energy above the most stable polymorph in this dataset: 0 meV per atom
calculated volume: 26.0 Å³ per atom
space-group type: Pm-3m
N(E_F): 0.630 states/eV/atom
E: -8.43 eV/cell
magnetization: 0.0 μB per formula unit
ΔE_f (raw): 710 meV per atom

=====

Entry 11:
A plane-wave DFT calculation with PBE was carried out for crystalline Ho2Er9Sc at its relaxed geometry.

```
Ho2Er9Sc
1.0
4.941 0.000 0.000
0.000 4.941 0.000
0.000 0.000 14.787
Ho Er Sc
2 9 1
Cartesian
0.000 0.000 2.485
0.000 0.000 12.302
0.000 2.470 0.000
0.000 2.470 4.988
0.000 2.470 9.799
2.470 0.000 0.000
2.470 0.000 4.988
2.470 0.000 9.799
2.470 2.470 2.497
2.470 2.470 7.394
2.470 2.470 12.290
0.000 0.000 7.394
```

Computed properties:
calculated volume: 30.1 Å³ per atom
energy of formation from the pure elements: 0.031 eV per atom
space-group type: P4/mmm
N(E_F): 1.490 states/eV/atom
E: -56.18 eV/cell
magnetization: 0.0 μB per formula unit

=====

Entry 12:
A plane-wave DFT calculation with PBE was carried out for crystalline ZnAuCl at its relaxed geometry.

```
ZnAuCl
1.0
0.000 3.078 6.324
1.681 0.000 6.324
1.681 3.078 0.000
Zn Au Cl
1 1 1
Cartesian
0.000 0.000 0.000
1.681 3.078 8.196
1.681 3.078 4.633
```

Computed properties:
energy above the most stable polymorph in this dataset: 311 meV per atom
calculated volume: 21.8 Å³ per atom
space-group type: Fmm2
N(E_F): 0.130 states/eV/atom
E: -7.06 eV/cell
magnetization: 0.0 μB per formula unit
ΔE_f (raw): -220 meV per atom